(1)
A plane-wave DFT calculation with PBE was carried out for CaTbMgIr after structural relaxation.

```
CaTbMgIr
1.0
-2.659 4.260 0.534
-0.933 1.833 4.612
2.288 4.228 1.547
Ca Ir Tb Mg
1 1 1 1
direct
0.750 0.750 0.750 Ca
0.000 0.000 0.000 Ir
0.250 0.250 0.250 Tb
0.500 0.500 0.500 Mg
```

Calculated values
The calculation puts the density of states at the Fermi level at 0.976 states/eV per atom. The value obtained for the formation enthalpy at 0 K is -0.277 eV/atom. The calculation puts the total magnetization at 0.0000 μB per atom. The space group is No. 216. The value obtained for the theoretical density is 7.58 g/cm3.

***

(2)
A plane-wave DFT calculation with PBE was carried out for CaMg2TlIr after structural relaxation.

```
CaMg2TlIr
1.0
5.029 0.000 0.000
0.000 5.029 0.000
0.000 0.000 5.265
Mg Tl Ir Ca
2 1 1 1
direct
0.000 0.500 0.000 Mg
0.500 0.000 0.000 Mg
0.000 0.000 0.500 Tl
0.000 0.000 0.000 Ir
0.500 0.500 0.500 Ca
```

Calculated values
The calculation puts the density of states at the Fermi level at 0.568 states/eV per atom. The value obtained for the formation enthalpy at 0 K is -0.114 eV/atom. The calculation puts the total magnetization at 0.0000 μB per atom. The space group is No. 123. The value obtained for the theoretical density is 6.05 g/cm3.

***

(3)
A plane-wave DFT calculation with PBE was carried out for CaYMg2Ir after structural relaxation.

```
CaYMg2Ir
1.0
5.182 0.000 0.000
0.000 5.182 0.000
0.000 0.000 5.254
Y Ca Ir Mg
1 1 1 2
direct
0.000 0.000 0.500 Y
0.500 0.500 0.500 Ca
0.000 0.000 0.000 Ir
0.000 0.500 0.000 Mg
0.500 0.000 0.000 Mg
```

Calculated values
The calculation puts the density of states at the Fermi level at 0.643 states/eV per atom. The value obtained for the formation enthalpy at 0 K is -0.223 eV/atom. The calculation puts the total magnetization at 0.0000 μB per atom. The space group is No. 123. The value obtained for the theoretical density is 4.35 g/cm3.

***

(4)
A plane-wave DFT calculation with PBE was carried out for CaY2MgIr after structural relaxation.

```
CaY2MgIr
1.0
-1.039 -5.242 0.705
5.202 -1.143 -0.828
0.932 0.509 5.157
Y Ca Ir Mg
2 1 1 1
direct
0.000 0.500 0.000 Y
0.500 0.000 0.000 Y
0.500 0.500 0.500 Ca
0.000 0.000 0.000 Ir
0.000 0.000 0.500 Mg
```

Calculated values
The calculation puts the density of states at the Fermi level at 0.591 states/eV per atom. The value obtained for the formation enthalpy at 0 K is -0.294 eV/atom. The calculation puts the total magnetization at 0.0000 μB per atom. The space group is No. 123. For the energy relative to the lowest polymorph listed for this composition, the calculation gives 0.0 meV per atom. The value obtained for the theoretical density is 4.72 g/cm3.

***

(5)
A plane-wave DFT calculation with PBE was carried out for CaY2MgIr after structural relaxation.

```
CaY2MgIr
1.0
5.385 0.000 0.000
0.000 5.385 0.000
0.000 0.000 5.570
Y Ca Ir Mg
2 1 1 1
direct
0.000 0.500 0.000 Y
0.500 0.000 0.000 Y
0.000 0.000 0.500 Ca
0.000 0.000 0.000 Ir
0.500 0.500 0.500 Mg
```

Calculated values
The calculation puts the density of states at the Fermi level at 0.660 states/eV per atom. The value obtained for the formation enthalpy at 0 K is -0.241 eV/atom. The calculation puts the total magnetization at 0.0000 μB per atom. The space group is No. 123. For the energy relative to the lowest polymorph listed for this composition, the calculation gives 52.5 meV per atom. The value obtained for the theoretical density is 4.47 g/cm3.

***

(6)
A plane-wave DFT calculation with PBE was carried out for CaMgZn2Ir after structural relaxation.

```
CaMgZn2Ir
1.0
4.874 0.000 0.000
0.000 4.874 0.000
0.000 0.000 4.879
Mg Zn Ir Ca
1 2 1 1
direct
0.000 0.000 0.500 Mg
0.000 0.500 0.000 Zn
0.500 0.000 0.000 Zn
0.000 0.000 0.000 Ir
0.500 0.500 0.500 Ca
```

Calculated values
The calculation puts the density of states at the Fermi level at 0.375 states/eV per atom. The value obtained for the formation enthalpy at 0 K is -0.183 eV/atom. The calculation puts the total magnetization at 0.0000 μB per atom. The space group is No. 123. The value obtained for the theoretical density is 5.55 g/cm3.

***

(7)
A plane-wave DFT calculation with PBE was carried out for CaMgZnIr after structural relaxation.

```
CaMgZnIr
1.0
-2.502 -3.826 1.299
0.356 -1.680 4.431
-3.646 0.455 3.014
Mg Zn Ir Ca
1 1 1 1
direct
0.250 0.250 0.250 Mg
0.000 0.000 0.000 Zn
0.500 0.500 0.500 Ir
0.750 0.750 0.750 Ca
```

Calculated values
The calculation puts the density of states at the Fermi level at 0.559 states/eV per atom. The value obtained for the formation enthalpy at 0 K is -0.188 eV/atom. The calculation puts the total magnetization at 0.0000 μB per atom. The space group is No. 216. The value obtained for the theoretical density is 7.05 g/cm3.

***

(8)
A plane-wave DFT calculation with PBE was carried out for CaMg2ZnIr after structural relaxation.

```
CaMg2ZnIr
1.0
-2.307 -2.634 -3.517
2.178 -4.135 1.668
-3.787 -0.762 3.056
Mg Zn Ir Ca
2 1 1 1
direct
0.000 0.500 0.000 Mg
0.500 0.000 0.000 Mg
0.000 0.000 0.500 Zn
0.000 0.000 0.000 Ir
0.500 0.500 0.500 Ca
```

Calculated values
The calculation puts the density of states at the Fermi level at 0.383 states/eV per atom. The value obtained for the formation enthalpy at 0 K is -0.171 eV/atom. The calculation puts the total magnetization at 0.0000 μB per atom. The space group is No. 123. The value obtained for the theoretical density is 4.74 g/cm3.

***

(9)
A plane-wave DFT calculation with PBE was carried out for Ca2MnIr after structural relaxation.

```
Ca2MnIr
1.0
9.877 -0.025 -0.015
9.328 3.247 -0.015
9.328 1.565 2.845
Ca Ir Mn
2 1 1
direct
0.990 0.990 0.990 Ca
0.510 0.510 0.510 Ca
0.250 0.250 0.250 Ir
0.750 0.750 0.750 Mn
```

Calculated values
The calculation puts the density of states at the Fermi level at 0.863 states/eV per atom. The value obtained for the formation enthalpy at 0 K is 0.424 eV/atom. The calculation puts the total magnetization at 0.9980 μB per atom. The space group is No. 166. For the energy relative to the lowest polymorph listed for this composition, the calculation gives 474.7 meV per atom. The value obtained for the theoretical density is 5.88 g/cm3.

***

(10)
A plane-wave DFT calculation with PBE was carried out for Ca2MnIr3 after structural relaxation.

```
Ca2MnIr3
1.0
4.822 -0.149 -2.543
-3.065 4.506 -0.223
-0.322 0.044 5.236
Ca Mn Ir
2 1 3
direct
0.753 0.377 0.130 Ca
0.247 0.623 0.870 Ca
0.000 0.000 0.000 Mn
0.500 0.500 0.500 Ir
0.000 0.000 0.500 Ir
0.500 0.000 0.500 Ir
```

Calculated values
The calculation puts the density of states at the Fermi level at 0.940 states/eV per atom. The value obtained for the formation enthalpy at 0 K is -0.391 eV/atom. The calculation puts the total magnetization at 0.4918 μB per atom. The space group is No. 166. The value obtained for the theoretical density is 10.94 g/cm3.

***

(11)
A plane-wave DFT calculation with PBE was carried out for CaMn2Ir after structural relaxation.

```
CaMn2Ir
1.0
2.730 0.000 0.000
0.000 4.177 0.000
0.000 0.000 5.884
Ca Ir Mn
1 1 2
direct
0.500 0.500 0.250 Ca
0.500 0.500 0.750 Ir
0.000 0.000 0.911 Mn
0.000 0.000 0.589 Mn
```

Calculated values
The calculation puts the density of states at the Fermi level at 1.339 states/eV per atom. The value obtained for the formation enthalpy at 0 K is 0.414 eV/atom. The calculation puts the total magnetization at 0.0000 μB per atom. The space group is No. 47. The value obtained for the theoretical density is 8.47 g/cm3.

***

(12)
A plane-wave DFT calculation with PBE was carried out for CaMnIr4 after structural relaxation.

```
CaMnIr4
1.0
-0.274 -4.176 -3.200
-2.705 -4.274 1.473
-4.542 -1.195 -2.388
Ca Mn Ir
1 1 4
direct
0.000 0.000 0.000 Ca
0.250 0.250 0.250 Mn
0.126 0.625 0.625 Ir
0.625 0.625 0.625 Ir
0.625 0.126 0.625 Ir
0.625 0.625 0.126 Ir
```

Calculated values
The calculation puts the density of states at the Fermi level at 1.099 states/eV per atom. The value obtained for the formation enthalpy at 0 K is -0.094 eV/atom. The calculation puts the total magnetization at 0.8093 μB per atom. The space group is No. 216. The value obtained for the theoretical density is 13.87 g/cm3.

***

Question: The highest formation enthalpy at 0 K belongs to which entry?
Answer: Ca2MnIr

***

Question: Among the records above, which one has the lowest theoretical density?
Answer: CaYMg2Ir